Record 1
A plane-wave DFT calculation with PBE was carried out for a relaxed Pr2AsO5 crystal.

Calculated values
- Raw formation energy: -2.297 eV/atom
- ΔE to the lowest computed polymorph: 221.7 meV per atom
- Crystal system: tetragonal

Structure (extended XYZ):
```
8
Lattice="-1.8301 0.2273 -5.2001 1.5810 -5.2271 -0.7873 -3.1124 1.3593 4.0860" Properties=species:S:1:pos:R:3 pbc="T T T"
Pr -0.7984 -3.1728 0.1416
Pr -2.5030 -0.4470 -2.0637
As -3.3348 -3.6315 -1.9109
O -1.0729 -1.0991 -4.1235
O -0.1187 -1.2175 -1.4131
O -0.2493 -3.8246 -4.5347
O 0.7052 -3.9421 -1.8235
O -1.7672 -3.0778 -2.4380
```


Record 2
A plane-wave DFT calculation with PBE was carried out for a relaxed PbSe3 crystal.

Calculated values
- Raw formation energy: -0.111 eV/atom
- Crystal system: orthorhombic

Structure (extended XYZ):
```
8
Lattice="-7.9778 3.5869 -0.6518 5.9116 -1.2633 -6.3556 -1.5270 -3.5269 -0.7193" Properties=species:S:1:pos:R:3 pbc="T T T"
Pb -4.4733 1.3481 -2.4275
Pb 0.8801 -2.5513 -5.2992
Se 3.8527 -1.5593 -5.8467
Se -7.4459 0.3561 -1.8800
Se 0.8140 -0.9111 -2.5740
Se -4.4072 -0.2921 -5.1527
Se -3.3420 -1.4899 -1.5405
Se -0.2512 0.2867 -6.1862
```


Record 3
A plane-wave DFT calculation with PBE was carried out for a relaxed PrScGa2Pd5 crystal.

Calculated values
- Formation energy: -6.2 eV per formula unit
- Crystal system: tetragonal

Structure (extended XYZ):
```
9
Lattice="-2.2580 -0.9801 3.3935 0.0786 -4.0406 -1.1147 7.8829 -1.1981 4.8992" Properties=species:S:1:pos:R:3 pbc="T T T"
Pr 3.9414 -0.5990 2.4496
Sc 0.0000 0.0000 0.0000
Ga -0.0774 -2.6642 1.7686
Ga 5.7808 -3.5546 5.4095
Pd 2.1532 -2.3416 0.7565
Pd 0.9849 -0.8113 3.0106
Pd 5.8083 -2.8971 3.0281
Pd 4.6400 -1.3669 5.2822
Pd 2.8517 -3.1094 3.5890
```


Record 4
A plane-wave DFT calculation with PBE was carried out for a relaxed CsAcVSe4 crystal.

Calculated values
- Raw formation energy: -1.319 eV/atom
- Crystal system: monoclinic

Structure (extended XYZ):
```
14
Lattice="-2.4089 6.3797 2.1827 -3.9491 -3.1745 4.9200 8.2647 -2.1042 5.2762" Properties=species:S:1:pos:R:3 pbc="T T T"
Cs 3.0198 0.2777 10.2066
Cs -1.1131 0.8234 2.1723
Ac -1.0588 1.5492 7.7532
Ac 2.9655 -0.4481 4.6257
V -0.7910 -1.7221 5.8575
V 2.6977 2.8232 6.5215
Se 3.8759 -3.0486 6.2736
Se -0.0418 5.6991 3.7041
Se -1.9693 4.1497 6.1053
Se 1.9485 -4.5980 8.6749
Se -2.4793 -0.1503 5.5165
Se 4.3859 1.2514 6.8624
Se 0.7397 -1.0660 7.5095
Se 1.1669 2.1671 4.8694
```


Record 5
A plane-wave DFT calculation with PBE was carried out for a relaxed Cs2USnO6 crystal.

Calculated values
- Raw formation energy: -2.185 eV/atom
- Crystal system: cubic

Structure (extended XYZ):
```
10
Lattice="6.0952 0.0002 0.0000 0.0002 6.0954 0.0000 3.0476 3.0478 4.3106" Properties=species:S:1:pos:R:3 pbc="T T T"
Cs 6.0955 3.0477 2.1550
Cs 3.0475 6.0957 2.1555
U 0.0000 0.0000 0.0000
Sn 3.0477 3.0478 0.0000
O 3.0478 3.0479 2.1836
O 4.5920 4.5924 0.0002
O 1.5041 4.5917 0.0000
O 4.5913 1.5039 0.0000
O 4.5510 4.5510 4.3103
O 6.0953 6.0955 2.1269
```


Record 6
A plane-wave DFT calculation with PBE was carried out for a relaxed Tb2SmScP4 crystal.

Calculated values
- Formation energy: -12.3 eV per formula unit
- Crystal system: monoclinic

Structure (extended XYZ):
```
8
Lattice="-3.4309 -0.6388 -1.9371 -1.3925 -5.2852 4.2094 -2.5914 5.8143 2.6723" Properties=species:S:1:pos:R:3 pbc="T T T"
Tb -3.0111 2.5877 0.3676
Tb -1.9920 0.2645 3.4408
Sm -2.4117 -2.9620 1.1361
Sc 0.0000 0.0000 0.0000
P -2.6720 -0.1747 0.6780
P -4.7428 0.0649 4.2666
P -2.2849 3.0960 3.0258
P -1.6990 -2.5669 3.8558
```